(1)
This record from the Alexandria database describes crystalline RbTlGe at its relaxed geometry. The functional is GGA-PBE.

POSCAR file:
```
RbTlGe
1.0
13.178 0.000 0.000
0.000 7.303 0.000
0.000 0.000 4.604
Rb Tl Ge
4 4 4
Direct
0.212 0.250 0.582 Rb
0.288 0.750 0.082 Rb
0.712 0.250 0.918 Rb
0.788 0.750 0.418 Rb
0.000 0.500 0.000 Tl
0.500 0.000 0.500 Tl
0.500 0.500 0.500 Tl
0.000 0.000 0.000 Tl
0.566 0.750 0.904 Ge
0.434 0.250 0.096 Ge
0.934 0.250 0.404 Ge
0.066 0.750 0.596 Ge
```

Computed properties:
**Formation energy from the elements**: 0.093 eV/atom
**Electronic total energy**: -30.69 eV for the cell shown
**Space-group type**: Pnma (62)
**Magnetic moment**: 0.000 μB/atom


(2)
This record from the Alexandria database describes crystalline Rb3Pm3ErS8 at its relaxed geometry. The functional is GGA-PBE.

POSCAR file:
```
Rb3Pm3ErS8
1.0
8.256 0.000 0.000
-4.128 7.155 -0.031
0.000 -4.743 7.848
Pm Rb S Er
3 3 8 1
Direct
0.500 0.000 0.500 Pm
0.000 0.500 0.500 Pm
0.500 0.500 0.500 Pm
0.000 0.000 0.000 Rb
0.000 0.500 0.000 Rb
0.500 0.500 0.000 Rb
0.260 0.036 0.312 S
0.224 0.449 0.688 S
0.732 0.464 0.696 S
0.268 0.536 0.304 S
0.224 0.964 0.688 S
0.776 0.036 0.312 S
0.740 0.964 0.688 S
0.776 0.551 0.312 S
0.000 0.000 0.500 Er
```

Computed properties:
**Electronic total energy**: -80.98 eV for the cell shown
**Space-group type**: C2/m (12)
**Magnetic moment**: 0.000 μB/atom
**Formation energy without anion corrections**: -1.750 eV/atom


(3)
This record from the Alexandria database describes crystalline Tl6Sn2Hg at its relaxed geometry. The functional is GGA-PBE.

POSCAR file:
```
Tl6Sn2Hg
1.0
-4.406 -1.230 3.030
1.885 -3.598 -3.688
6.060 -4.137 7.134
Tl Sn Hg
6 2 1
Direct
0.000 0.000 0.179 Tl
0.667 0.333 0.938 Tl
0.667 0.333 0.598 Tl
0.333 0.667 0.402 Tl
0.000 0.000 0.821 Tl
0.333 0.667 0.062 Tl
0.333 0.667 0.728 Sn
0.667 0.333 0.272 Sn
0.000 0.000 0.500 Hg
```

Computed properties:
**Formation energy from the elements**: 0.016 eV/atom
**Electronic total energy**: -22.36 eV for the cell shown
**Space-group type**: P-3m1 (164)
**Relative energy among the computed polymorphs**: 0.00 eV per formula unit
**Magnetic moment**: 0.000 μB/atom


Copy entry 1 word for word.
This record from the Alexandria database describes crystalline RbTlGe at its relaxed geometry. The functional is GGA-PBE.

POSCAR file:
```
RbTlGe
1.0
13.178 0.000 0.000
0.000 7.303 0.000
0.000 0.000 4.604
Rb Tl Ge
4 4 4
Direct
0.212 0.250 0.582 Rb
0.288 0.750 0.082 Rb
0.712 0.250 0.918 Rb
0.788 0.750 0.418 Rb
0.000 0.500 0.000 Tl
0.500 0.000 0.500 Tl
0.500 0.500 0.500 Tl
0.000 0.000 0.000 Tl
0.566 0.750 0.904 Ge
0.434 0.250 0.096 Ge
0.934 0.250 0.404 Ge
0.066 0.750 0.596 Ge
```

Computed properties:
**Formation energy from the elements**: 0.093 eV/atom
**Electronic total energy**: -30.69 eV for the cell shown
**Space-group type**: Pnma (62)
**Magnetic moment**: 0.000 μB/atom